Entry from Alexandria via LeMat-Bulk: a crystal of Cs2KHoCl6 relaxed with PBEsol (meta-GGA SCAN).

a b c (Å): 7.8148 7.8148 7.8148
angles (deg): 60.00 60.00 60.00
Fractional positions:
Cs  0.2500  0.2500  0.2500
Cs  0.7500  0.7500  0.7500
K  0.0000  0.0000  0.0000
Ho  0.5000  0.5000  0.5000
Cl  0.2659  0.2659  0.7341
Cl  0.2659  0.7341  0.2659
Cl  0.2659  0.7341  0.7341
Cl  0.7341  0.2659  0.2659
Cl  0.7341  0.2659  0.7341
Cl  0.7341  0.7341  0.2659

Results
Raw formation energy ... -2.410 eV per atom
Space group ... Fm-3m
Spin magnetization ... 0.00 μB per formula unit

---

Entry from Alexandria via LeMat-Bulk: a crystal of Cs8Na4YHo3Cl24 relaxed with PBEsol (meta-GGA SCAN).

a b c (Å): 24.9310 24.9310 24.9310
angles (deg): 17.34 17.34 17.34
Fractional positions:
Cs  0.0625  0.0625  0.0625
Cs  0.1875  0.1875  0.1875
Cs  0.3125  0.3125  0.3125
Cs  0.4375  0.4375  0.4375
Cs  0.5625  0.5625  0.5625
Cs  0.6875  0.6875  0.6875
Cs  0.8125  0.8125  0.8125
Cs  0.9375  0.9375  0.9375
Na  0.1250  0.1250  0.1250
Na  0.3751  0.3751  0.3751
Na  0.6249  0.6249  0.6249
Na  0.8750  0.8750  0.8750
Y  0.0000  0.0000  0.0000
Ho  0.2500  0.2500  0.2500
Ho  0.5000  0.5000  0.5000
Ho  0.7500  0.7500  0.7500
Cl  0.0546  0.5673  0.5673
Cl  0.0672  0.0672  0.5547
Cl  0.0672  0.5547  0.0672
Cl  0.1835  0.1835  0.6941
Cl  0.1835  0.6941  0.1835
Cl  0.1954  0.6828  0.6828
Cl  0.3059  0.8165  0.8165
Cl  0.3172  0.3172  0.8046
Cl  0.3172  0.8046  0.3172
Cl  0.4327  0.4327  0.9454
Cl  0.4327  0.9454  0.4327
Cl  0.4453  0.9328  0.9328
Cl  0.5547  0.0672  0.0672
Cl  0.5673  0.0546  0.5673
Cl  0.5673  0.5673  0.0546
Cl  0.6828  0.1954  0.6828
Cl  0.6828  0.6828  0.1954
Cl  0.6941  0.1835  0.1835
Cl  0.8046  0.3172  0.3172
Cl  0.8165  0.3059  0.8165
Cl  0.8165  0.8165  0.3059
Cl  0.9328  0.4453  0.9328
Cl  0.9328  0.9328  0.4453
Cl  0.9454  0.4327  0.4327

Results
Raw formation energy ... -2.406 eV per atom
Space group ... R-3m
Spin magnetization ... 0.00 μB per formula unit

---

Number 1: ρ 3.4 g/cm³. Number 2: ρ 3.6 g/cm³.